Record 1
This record from Alexandria describes a relaxed PuTcO crystal. The functional is PBE-GGA.

```
6
Lattice="-1.025 1.794 -2.636 2.567 -1.258 -1.854 -4.850 -7.894 -1.359" Properties=species:S:1:pos:R:3 pbc="T T T"
O 0.584 -1.129 -3.123
Tc -0.757 -4.443 -2.730
O -3.891 -6.229 -2.727
Pu -0.440 -1.726 -1.004
Pu -2.868 -5.632 -4.846
Tc -2.551 -2.914 -3.120
```

Output
- crystal system = orthorhombic

Record 2
This record from Alexandria describes a relaxed PuTc2O8 crystal. The functional is PBE-GGA.

```
11
Lattice="-7.153 -2.934 -1.876 -1.566 -6.124 -2.350 -3.826 -4.336 3.469" Properties=species:S:1:pos:R:3 pbc="T T T"
O -8.616 -7.344 1.045
O -3.929 -6.049 -1.803
Pu 0.000 0.000 0.000
Tc -8.386 -10.799 0.060
O -5.513 -8.778 0.556
O -5.261 -4.996 1.627
O -9.598 -9.865 -0.697
Tc -4.158 -2.595 -0.818
O -7.032 -4.615 -1.313
O -7.284 -8.398 -2.384
O -2.946 -3.529 -0.060
```

Output
- crystal system = monoclinic
- E above lowest polymorph (meV per atom) = 171

Record 3
This record from Alexandria describes a relaxed PuTc2O8 crystal. The functional is PBE-GGA.

```
11
Lattice="-0.582 -3.748 -4.238 -2.179 -5.115 3.274 -6.398 -0.833 0.067" Properties=species:S:1:pos:R:3 pbc="T T T"
O -6.727 -3.064 0.251
O -1.644 -3.329 -2.281
Tc -1.878 -2.413 -0.751
O -7.514 -6.367 1.385
O -5.979 -6.714 -1.097
O -2.432 -6.632 -1.148
O -3.179 -2.982 0.201
O -4.099 -5.731 2.249
Tc -7.281 -7.284 -0.146
O -5.060 -3.966 -3.145
Pu 0.000 0.000 0.000
```

Output
- crystal system = monoclinic
- E above lowest polymorph (meV per atom) = 0

Record 4
This record from Alexandria describes a relaxed Pu3Tl2TcO12 crystal. The functional is PBE-GGA.

```
18
Lattice="-3.017 -6.161 3.292 3.108 -6.772 -1.542 3.987 -3.446 5.489" Properties=species:S:1:pos:R:3 pbc="T T T"
O 4.671 -7.271 2.856
O 2.811 -3.190 3.965
O 1.267 -13.191 3.274
O 2.244 -5.333 -0.565
O -0.593 -9.109 4.383
Pu 1.994 -1.723 2.744
Tc 0.000 0.000 0.000
O 3.257 -9.494 1.345
Pu -1.509 -3.081 1.646
O -1.703 -4.939 2.549
O 1.834 -11.047 7.804
Tl 2.705 -10.864 4.801
Pu 1.554 -3.386 -0.771
O 5.781 -11.441 4.690
Tl 1.373 -5.516 2.438
O 0.268 -8.977 1.475
O 3.810 -7.403 5.764
O 0.821 -6.887 5.894
```

Output
- crystal system = trigonal

Record 5
This record from Alexandria describes a relaxed PuTlTcO6 crystal. The functional is PBE-GGA.

```
18
Lattice="7.743 0.000 0.000 0.000 7.335 0.000 -3.871 -3.667 5.315" Properties=species:S:1:pos:R:3 pbc="T T T"
O 3.871 -1.834 3.499
Pu -1.936 -1.834 2.657
O 1.388 -0.326 3.984
Tc 3.871 0.000 0.000
O -1.388 -0.326 3.984
O 1.388 3.994 3.984
Tl 0.000 1.834 1.337
O 3.871 1.834 0.443
O 0.000 5.501 1.815
O 0.000 1.834 4.872
O 5.259 3.994 1.330
O -1.388 3.994 3.984
Tc 3.871 3.667 0.000
O 2.484 -0.326 1.330
Tl 3.871 1.834 3.978
Pu 1.936 -1.834 2.657
O 2.484 3.994 1.330
O 5.259 -0.326 1.330
```

Output
- crystal system = orthorhombic

Record 6
This record from Alexandria describes a relaxed PuTe2O6 crystal. The functional is PBE-GGA.

```
18
Lattice="-2.994 -4.863 0.266 6.396 -4.218 -1.395 2.261 -1.194 7.356" Properties=species:S:1:pos:R:3 pbc="T T T"
O 0.401 -6.098 2.433
O 5.261 -4.177 3.794
O 1.994 -3.736 2.098
O 3.927 -8.343 1.859
Te 1.523 -1.848 2.484
O 6.283 -7.681 5.112
O 3.397 -4.429 6.016
Te 4.844 -5.415 5.286
O 1.735 -1.932 4.367
Pu 1.924 -2.710 6.551
O 7.420 -4.986 5.741
O 2.265 -5.846 0.211
Te 0.818 -4.859 0.940
O 3.668 -6.538 4.129
O -1.758 -5.289 0.486
O -0.620 -2.594 1.115
Pu 3.738 -7.564 -0.324
Te 4.139 -8.426 3.742
```

Output
- crystal system = monoclinic

Record 7
This record from Alexandria describes a relaxed Pu2TeO crystal. The functional is PBE-GGA.

```
16
Lattice="-5.136 3.474 -0.841 -0.552 -2.227 -5.833 -5.784 -7.439 4.589" Properties=species:S:1:pos:R:3 pbc="T T T"
Pu -3.964 -3.391 -1.102
Pu -6.091 -6.624 0.540
Te -2.504 -1.053 -2.671
Pu -7.507 -2.801 -0.983
O -6.981 -0.587 -1.276
Pu -5.380 0.432 -2.624
O -6.133 -8.137 -1.240
Te -8.967 -5.139 0.587
Te -4.219 -3.975 -4.275
Pu -9.774 -6.436 -2.156
Pu -6.009 0.297 0.656
Pu -1.697 0.244 0.072
O -5.338 1.945 -0.844
O -4.490 -5.604 -0.808
Te -7.252 -2.217 2.191
Pu -5.462 -6.489 -2.741
```

Output
- crystal system = monoclinic
- E above lowest polymorph (meV per atom) = 0

Record 8
This record from Alexandria describes a relaxed Pu2Te2O crystal. The functional is PBE-GGA.

```
10
Lattice="-2.783 2.797 -0.761 -4.553 -4.836 -1.124 -1.088 -1.275 9.897" Properties=species:S:1:pos:R:3 pbc="T T T"
O -6.185 -2.986 1.036
Pu -0.914 -0.029 3.234
Pu -5.367 -1.010 5.307
Te -3.411 -2.517 3.221
Te -3.016 1.324 5.284
Pu -4.616 -1.599 0.393
O -3.724 -1.906 6.610
Te -1.453 -1.361 0.310
Te -7.273 -2.274 7.628
Pu -2.659 -0.495 7.903
```

Output
- crystal system = orthorhombic
- E above lowest polymorph (meV per atom) = 115

Record 9
This record from Alexandria describes a relaxed Pu4Te3O2 crystal. The functional is PBE-GGA.

```
9
Lattice="-1.535 0.916 -3.692 1.142 -7.016 0.063 -7.576 3.077 3.914" Properties=species:S:1:pos:R:3 pbc="T T T"
Pu -1.539 -1.666 -2.053
Te -6.093 1.187 0.549
Pu -3.059 -0.314 1.194
Pu -4.911 -2.709 -0.909
Pu -6.431 -1.356 2.338
Te -1.877 -4.209 -0.264
Te 0.000 0.000 0.000
O -3.421 -0.927 -1.086
O -4.549 -2.096 1.371
```

Output
- crystal system = monoclinic

Record 10
This record from Alexandria describes a relaxed PuTeO5 crystal. The functional is PBE-GGA.

```
14
Lattice="5.994 -0.073 -1.128 -1.930 5.189 -1.870 0.504 -0.149 8.107" Properties=species:S:1:pos:R:3 pbc="T T T"
Te 1.337 3.672 -0.068
O -0.995 4.340 4.550
O 4.737 0.725 6.141
O 5.546 0.640 0.545
O -0.186 4.255 -1.046
Pu 5.273 2.454 1.984
O 3.364 3.160 5.615
O 3.809 2.949 1.062
Te 3.214 1.308 5.163
O 0.743 2.032 4.033
O 3.978 1.393 3.424
O 1.187 1.820 -0.519
O 0.573 3.588 1.671
Pu 6.490 -0.216 6.972
```

Output
- crystal system = triclinic

Record 11
This record from Alexandria describes a relaxed PuTeO2 crystal. The functional is PBE-GGA.

```
4
Lattice="3.379 0.000 0.000 1.690 2.926 0.000 1.690 0.975 10.398" Properties=species:S:1:pos:R:3 pbc="T T T"
Te 3.379 1.951 5.199
O 5.069 2.926 1.774
O 1.690 0.975 8.624
Pu 0.000 0.000 0.000
```

Output
- crystal system = trigonal

Record 12
This record from Alexandria describes a relaxed Pu2TeO2 crystal. The functional is PBE-GGA.

```
5
Lattice="-3.375 -0.447 1.675 -0.472 -3.292 -1.828 2.955 -3.249 5.087" Properties=species:S:1:pos:R:3 pbc="T T T"
O -0.210 -1.848 3.381
Pu -1.068 -2.810 1.396
O 1.242 -3.270 1.629
Pu 0.176 -4.178 3.538
Te 0.000 0.000 0.000
```

Output
- crystal system = tetragonal

Record 13
This record from Alexandria describes a relaxed Pu2TeO crystal. The functional is PBE-GGA.

```
4
Lattice="4.233 0.000 0.000 2.116 3.665 0.000 2.116 1.222 8.074" Properties=species:S:1:pos:R:3 pbc="T T T"
O 0.000 0.000 0.000
Te 4.233 2.444 4.037
Pu 6.349 3.665 2.062
Pu 2.116 1.222 6.013
```

Output
- crystal system = trigonal
- E above lowest polymorph (meV per atom) = 309

Record 14
This record from Alexandria describes a relaxed Pu4Te5O crystal. The functional is PBE-GGA.

```
10
Lattice="4.139 0.000 0.000 0.000 8.049 -0.395 -2.069 -1.487 9.064" Properties=species:S:1:pos:R:3 pbc="T T T"
Pu 2.069 0.191 8.919
Pu 2.069 0.154 2.745
Te 2.069 4.235 5.830
Te 2.069 4.025 -0.198
Te 0.000 2.327 2.839
Pu 0.000 6.408 5.924
Pu 0.000 6.371 -0.250
Te 2.069 0.556 5.830
Te 0.000 6.006 2.838
O 2.069 0.000 0.000
```

Output
- crystal system = monoclinic

Record 15
This record from Alexandria describes a relaxed Pu2Te2O crystal. The functional is PBE-GGA.

```
10
Lattice="5.622 0.000 2.399 1.594 6.329 4.052 0.066 0.876 7.632" Properties=species:S:1:pos:R:3 pbc="T T T"
Te 4.733 4.364 4.481
O 5.046 3.603 7.641
O 2.235 3.603 6.442
Pu 1.505 3.903 4.260
Pu 3.533 5.326 7.294
Pu 5.777 3.302 9.822
Te 0.902 0.723 5.673
Te 6.379 6.482 8.410
Pu 3.748 1.879 6.789
Te 2.548 2.841 9.601
```

Output
- crystal system = orthorhombic
- E above lowest polymorph (meV per atom) = 0

Record 16
This record from Alexandria describes a relaxed Pu2TeO2 crystal. The functional is PBE-GGA.

```
5
Lattice="3.973 0.000 0.000 0.000 3.973 0.000 -1.986 -1.986 6.312" Properties=species:S:1:pos:R:3 pbc="T T T"
O 0.000 1.986 3.156
Pu 0.000 0.000 4.323
Te 0.000 0.000 0.000
O 1.986 0.000 3.156
Pu 1.986 1.986 1.989
```

Output
- crystal system = tetragonal

Record 17
This record from Alexandria describes a relaxed Pu3Tl2TeO12 crystal. The functional is PBE-GGA.

```
18
Lattice="7.723 -0.036 -0.025 3.783 6.733 -0.025 3.783 2.202 6.363" Properties=species:S:1:pos:R:3 pbc="T T T"
O 9.700 2.790 1.979
Tl 10.153 5.910 4.192
O 11.919 4.040 5.936
O 11.919 6.938 1.851
O 5.889 0.530 0.376
O 3.369 4.859 0.376
Pu 3.861 -0.018 -0.013
O 7.216 4.201 6.006
O 8.072 4.699 0.307
O 9.400 8.369 5.936
Tl 5.135 2.989 2.120
Pu 1.891 1.101 3.181
O 3.369 1.961 4.462
O 7.216 7.057 1.979
Te 0.000 0.000 0.000
O 8.072 1.843 4.333
Pu 1.891 3.366 -0.013
O 5.589 6.109 4.333
```

Output
- crystal system = trigonal

Record 18
This record from Alexandria describes a relaxed PuTl2TeO6 crystal. The functional is PBE-GGA.

```
20
Lattice="6.254 0.000 0.000 0.000 6.552 0.000 0.000 0.000 8.424" Properties=species:S:1:pos:R:3 pbc="T T T"
O 3.127 1.933 6.317
O 0.000 4.620 2.105
O 3.127 1.933 2.107
Te 0.000 4.627 0.000
O 4.520 0.500 0.000
O 0.000 4.620 6.319
Pu 3.127 1.897 0.000
Tl 3.127 5.236 2.124
O 1.488 3.402 0.000
O 1.734 0.500 0.000
O 1.393 6.053 4.212
Pu 0.000 4.656 4.212
O 4.765 3.402 0.000
Tl 0.000 1.316 2.088
Tl 3.127 5.236 6.300
O 1.639 3.150 4.212
O 4.861 6.053 4.212
Te 3.127 1.926 4.212
Tl 0.000 1.316 6.336
O 4.615 3.150 4.212
```

Output
- crystal system = orthorhombic

Record 19
This record from Alexandria describes a relaxed PuTlTe2O8 crystal. The functional is PBE-GGA.

```
12
Lattice="-3.134 -5.138 -2.442 6.148 -0.599 2.008 -2.461 -1.823 6.993" Properties=species:S:1:pos:R:3 pbc="T T T"
Pu 0.000 0.000 0.000
O 1.290 -5.095 0.426
O -2.160 -4.759 -0.701
O -0.401 -1.875 0.669
O -1.063 -4.383 1.948
O 0.954 -5.685 5.889
O -0.737 -2.465 6.133
O 2.713 -2.801 7.260
Te 1.033 -3.609 6.266
O 1.616 -3.177 4.611
Tl -1.231 -0.911 3.497
Te -0.480 -3.951 0.293
```

Output
- crystal system = trigonal

Record 20
This record from Alexandria describes a relaxed Pu2Tl3TeO9 crystal. The functional is PBE-GGA.

```
15
Lattice="6.064 0.000 0.000 -3.032 5.252 0.000 0.000 0.000 7.445" Properties=species:S:1:pos:R:3 pbc="T T T"
Tl 3.032 1.751 2.519
Tl 0.000 0.000 0.000
Tl 0.000 3.501 4.926
O -1.502 4.368 2.463
Pu 3.032 1.751 6.197
Te 0.000 0.000 3.722
O 3.032 3.485 4.981
O 1.530 0.884 4.981
O 1.502 4.368 2.463
O 3.032 0.000 0.000
O -1.516 2.626 0.000
Pu 0.000 3.501 1.248
O 1.516 2.626 0.000
O 4.534 0.884 4.981
O 0.000 1.767 2.463
```

Output
- crystal system = trigonal

Record 21
This record from Alexandria describes a relaxed PuTl2Te2O6 crystal. The functional is PBE-GGA.

```
11
Lattice="7.175 0.000 0.000 -3.588 4.828 0.200 0.000 -2.493 6.520" Properties=species:S:1:pos:R:3 pbc="T T T"
O 4.990 -0.217 2.198
O 2.185 -0.217 2.198
O 3.588 0.419 4.775
Pu 3.588 -1.246 3.260
Te 3.588 2.362 4.508
O 0.000 1.916 1.945
Tl 3.588 1.636 0.869
O -1.403 2.552 4.522
Tl 0.000 0.699 5.851
O 1.403 2.552 4.522
Te 0.000 -0.027 2.211
```

Output
- crystal system = monoclinic

| no. | raw formation energy (eV per atom) |
| --- | --- |
| 1 | -1.159 |
| 2 | -1.518 |
| 3 | -1.689 |
| 4 | -2.048 |
| 5 | -1.781 |
| 6 | -1.569 |
| 7 | -1.658 |
| 8 | -1.605 |
| 9 | -1.840 |
| 10 | -1.865 |
| 11 | -1.040 |
| 12 | -2.035 |
| 13 | -1.349 |
| 14 | -1.012 |
| 15 | -1.719 |
| 16 | -2.498 |
| 17 | -1.984 |
| 18 | -1.487 |
| 19 | -1.299 |
| 20 | -1.701 |
| 21 | -1.262 |